[1]
A plane-wave DFT calculation with PBE was carried out for crystalline NdDy2Mg3Tl2Cd at its relaxed geometry.

Unit cell a=4.6663 b=7.6280 c=7.6280 alpha=120.61 beta=90.00 gamma=90.00
With the nearest neighbours (Å) after each atom.
Fractional coordinates of all 9 atoms:
Cd (0.0000, 0.9932, 0.9932)  6 Mg 2.92-2.98, 2 Dy 3.21, 1 Nd 3.27
Dy (0.0000, 0.5768, 0.0015)  1 Cd 3.21, 4 Tl 3.24, 2 Mg 3.47
Dy (0.0000, 0.0015, 0.5768)  1 Cd 3.21, 4 Tl 3.24, 2 Mg 3.47
Mg (0.5000, 0.9994, 0.2388)  2 Tl 2.93-2.97, 2 Cd 2.98, 2 Mg 3.14-3.17
Mg (0.5000, 0.7602, 0.7602)  2 Cd 2.92, 2 Tl 2.98, 2 Mg 3.14
Mg (0.5000, 0.2388, 0.9994)  2 Tl 2.93-2.97, 2 Cd 2.98, 2 Mg 3.14-3.17
Nd (0.0000, 0.4262, 0.4262)  1 Cd 3.27, 4 Tl 3.29, 6 Mg 3.44-3.65
Tl (0.5000, 0.6715, 0.3324)  3 Mg 2.93-2.98, 4 Dy 3.24
Tl (0.5000, 0.3324, 0.6715)  3 Mg 2.93-2.98, 4 Dy 3.24

Values from the calculation:
E_tot in Ry/atom: -0.222
Total moment in μB/f.u.: 0.01

[2]
A plane-wave DFT calculation with PBE was carried out for crystalline SmSb3Se6 at its relaxed geometry.

Unit cell a=12.0932 b=4.0445 c=12.2810 alpha=90.00 beta=105.71 gamma=90.00
With the nearest neighbours (Å) after each atom.
Fractional coordinates of all 20 atoms:
Sb (0.6612, 0.7500, 0.0695)  3 Se 2.72
Sb (0.9646, 0.2500, 0.2059)  3 Se 2.66-2.82
Sb (0.4004, 0.7500, 0.3477)  3 Se 2.66-2.71
Sb (0.5996, 0.2500, 0.6523)  3 Se 2.66-2.71
Sb (0.0354, 0.7500, 0.7941)  3 Se 2.66-2.82
Sb (0.3388, 0.2500, 0.9305)  3 Se 2.72
Se (0.8786, 0.7500, 0.0456)  3 Sb 2.72-2.82
Se (0.4011, 0.7500, 0.0831)  2 Sb 2.72
Se (0.7727, 0.2500, 0.2724)  1 Sb 2.66
Se (0.2455, 0.2500, 0.2993)  2 Sb 2.71
Se (0.0316, 0.7500, 0.3935)  3 Sm 2.99-3.04, 2 Sb 3.01
Se (0.6136, 0.2500, 0.4401)  1 Sb 2.66
Se (0.3864, 0.7500, 0.5599)  1 Sb 2.66
Se (0.9684, 0.2500, 0.6065)  3 Sm 2.99-3.04, 2 Sb 3.01
Se (0.7545, 0.7500, 0.7007)  2 Sb 2.71
Se (0.2273, 0.7500, 0.7276)  1 Sb 2.66
Se (0.5989, 0.2500, 0.9169)  2 Sb 2.72
Se (0.1214, 0.2500, 0.9544)  3 Sb 2.72-2.82
Sm (0.8102, 0.7500, 0.4664)  8 Se 2.99-3.13
Sm (0.1898, 0.2500, 0.5336)  8 Se 2.99-3.13

Values from the calculation:
E_tot in Ry/atom: -0.329
Total moment in μB/f.u.: 0.01

[3]
A plane-wave DFT calculation with PBE was carried out for crystalline MgCuIrS3 at its relaxed geometry.

Unit cell a=6.0737 b=6.0737 c=9.0295 alpha=90.00 beta=90.00 gamma=145.46
With the nearest neighbours (Å) after each atom.
Fractional coordinates of all 12 atoms:
Cu (0.4508, 0.5492, 0.2500)  4 S 2.23-2.39
Cu (0.5492, 0.4508, 0.7500)  4 S 2.23-2.39
Ir (0.0000, 0.0000, 0.0000)  6 S 2.44-2.47
Ir (0.0000, 0.0000, 0.5000)  6 S 2.44-2.47
Mg (0.7460, 0.2540, 0.2500)  4 S 2.58-2.83
Mg (0.2540, 0.7460, 0.7500)  4 S 2.58-2.83
S (0.3608, 0.6392, 0.0323)  1 Cu 2.23, 2 Ir 2.44
S (0.0865, 0.9135, 0.2500)  2 Cu 2.39, 2 Ir 2.47, 2 Mg 2.58
S (0.3608, 0.6392, 0.4677)  1 Cu 2.23, 2 Ir 2.44
S (0.6392, 0.3608, 0.5323)  1 Cu 2.23, 2 Ir 2.44
S (0.9135, 0.0865, 0.7500)  2 Cu 2.39, 2 Ir 2.47, 2 Mg 2.58
S (0.6392, 0.3608, 0.9677)  1 Cu 2.23, 2 Ir 2.44

Values from the calculation:
E_tot in Ry/atom: -0.356
Total moment in μB/f.u.: 0.00

[4]
A plane-wave DFT calculation with PBE was carried out for crystalline Nb2Si2Ni3 at its relaxed geometry.

Unit cell a=7.1231 b=7.1231 c=7.1231 alpha=33.22 beta=33.22 gamma=33.22
With the nearest neighbours (Å) after each atom.
Fractional coordinates of all 7 atoms:
Nb (0.2413, 0.2413, 0.2413)  5 Ni 2.47-2.62, 3 Si 2.74
Nb (0.7631, 0.7631, 0.7631)  4 Ni 2.39-2.65
Ni (0.1189, 0.1189, 0.1189)  4 Nb 2.39-2.47, 4 Si 2.42-2.58
Ni (0.3655, 0.3655, 0.3655)  3 Si 2.44, 4 Nb 2.50-2.68, 3 Ni 2.71
Ni (0.6318, 0.6318, 0.6318)  4 Si 2.45-2.55, 4 Nb 2.62-2.65, 3 Ni 2.71
Si (0.5052, 0.5052, 0.5052)  5 Ni 2.55-2.82, 6 Nb 2.74-2.80
Si (0.9992, 0.9992, 0.9992)  7 Ni 2.42-2.45

Values from the calculation:
E_tot in Ry/atom: -0.528
Total moment in μB/f.u.: 0.00

[5]
A plane-wave DFT calculation with PBE was carried out for crystalline ZrZn2Pt2 at its relaxed geometry.

Unit cell a=6.9843 b=6.9843 c=6.9843 alpha=149.90 beta=149.90 gamma=43.09
With the nearest neighbours (Å) after each atom.
Fractional coordinates of all 5 atoms:
Pt (0.3975, 0.3975, 0.0000)  4 Zn 2.64, 1 Pt 2.66, 4 Zr 2.89
Pt (0.6025, 0.6025, 0.0000)  4 Zn 2.64, 1 Pt 2.66, 4 Zr 2.89
Zn (0.7500, 0.2500, 0.5000)  4 Zn 2.56, 4 Pt 2.64
Zn (0.2500, 0.7500, 0.5000)  4 Zn 2.56, 4 Pt 2.64
Zr (0.0000, 0.0000, 0.0000)  8 Pt 2.89

Values from the calculation:
E_tot in Ry/atom: -0.389
Offset from the most stable computed form in meV per atom: 0
Formation enthalpy at 0 K in kJ/mol of formula units: -319.3
Total moment in μB/f.u.: 0.00

[6]
A plane-wave DFT calculation with PBE was carried out for crystalline BaCd at its relaxed geometry.

Unit cell a=4.3131 b=4.3131 c=5.0719 alpha=90.00 beta=90.00 gamma=120.00
With the nearest neighbours (Å) after each atom.
Fractional coordinates of all 2 atoms:
Ba (0.6667, 0.3333, 0.7500)  6 Cd 3.55
Cd (0.3333, 0.6667, 0.2500)  6 Ba 3.55

Values from the calculation:
E_tot in Ry/atom: -0.114